# 1
The following is a GGA-PBE calculation of an optimized crystal structure of Li4CuPPd2, from OQMD via LeMat-Bulk.

Structure (POSCAR):
```
Li4CuPPd2
1.0
-2.567 0.072 3.414
-2.857 -2.385 -2.098
2.496 -4.731 1.977
Pd Li P Cu
2 4 1 1
Cartesian
-0.725 -1.023 2.150
0.509 -4.864 0.486
0.000 0.000 0.000
-1.464 -3.521 1.647
0.586 -3.507 3.188
-0.802 -2.379 -0.553
-2.712 -1.156 0.658
1.248 -2.365 0.989
```

## Properties
calculated volume	104	Å³ per cell
total energy	-30.76	eV/cell


# 2
The following is a GGA-PBE calculation of an optimized crystal structure of Li2PrCuP2, from OQMD via LeMat-Bulk.

Structure (POSCAR):
```
Li2PrCuP2
1.0
-0.683 3.618 -1.867
-3.183 -2.283 1.303
0.204 3.078 5.892
Li P Pr Cu
2 2 1 1
Cartesian
-1.386 3.620 2.960
-2.276 0.792 2.368
-1.462 2.473 0.764
-2.200 1.939 4.564
0.000 0.000 0.000
0.102 1.539 2.946
```

## Properties
calculated volume	98	Å³ per cell
total energy	-27.62	eV/cell